No. 1
A relaxed Fe2BiCl6 crystal. Source: the Alexandria database, functional PBE.

Cell and atoms, written as POSCAR:
```
Fe2BiCl6
1.0
-3.9504 0.9896 -5.4752
-4.3247 -7.4573 2.3037
-6.2554 3.0346 5.5931
Fe Bi Cl
4 2 12
Direct
0.1992 0.5934 0.7764
0.3008 0.2236 0.4066
0.8008 0.4066 0.2236
0.6992 0.7764 0.5934
0.2500 0.0492 0.9508
0.7500 0.9508 0.0492
0.3823 0.6846 0.5646
0.1177 0.4354 0.3154
0.6177 0.3154 0.4354
0.8823 0.5646 0.6846
0.8205 0.9046 0.3664
0.6795 0.6336 0.0954
0.1795 0.0954 0.6336
0.3205 0.3664 0.9046
0.1957 0.7365 0.9579
0.3043 0.0421 0.2635
0.8043 0.2635 0.0421
0.6957 0.9579 0.7365
```


No. 2
A relaxed FeBiCl3 crystal. Source: the Alexandria database, functional PBE.

Cell and atoms, written as POSCAR:
```
FeBiCl3
1.0
-0.5885 -3.7014 -3.0950
4.8247 -0.4260 -0.4080
0.0395 -3.1216 3.7256
Cl Fe Bi
3 1 1
Direct
0.0000 0.5000 0.0000
0.0000 0.0000 0.5000
0.5000 0.0000 0.0000
0.0000 0.0000 0.0000
0.5000 0.5000 0.5000
```

Results
Polymorph energy (0 for the lowest one)   0 meV/atom


No. 3
A relaxed HfFeBi2Cl crystal. Source: the Alexandria database, functional PBE.

Cell and atoms, written as POSCAR:
```
HfFeBi2Cl
1.0
-1.2062 4.1267 2.7408
-3.9670 0.6437 -2.7151
-2.6739 -2.9170 3.2152
Cl Hf Bi Fe
1 1 2 1
Direct
0.5000 0.5000 0.5000
0.0000 0.5000 0.0000
0.0000 0.0000 0.5000
0.5000 0.0000 0.0000
0.0000 0.0000 0.0000
```


No. 4
A relaxed KFe2BiCl8 crystal. Source: the Alexandria database, functional PBE.

Cell and atoms, written as POSCAR:
```
KFe2BiCl8
1.0
6.5180 -0.4356 0.0173
2.6202 5.9840 0.0173
0.4697 0.2852 9.5157
K Fe Bi Cl
1 2 1 8
Direct
0.0000 0.0000 0.5000
0.6239 0.6239 0.2262
0.3761 0.3761 0.7738
0.0000 0.0000 0.0000
0.7527 0.2564 0.7855
0.7439 0.7439 0.0164
0.7105 0.7105 0.4308
0.2895 0.2895 0.5692
0.2561 0.2561 0.9836
0.2564 0.7527 0.7855
0.7436 0.2473 0.2145
0.2473 0.7436 0.2145
```


no.,raw formation energy (eV/atom),DOS at the Fermi energy (states/eV/cell)
1,-0.683,18.610
2,-0.203,5.217
3,0.301,3.754
4,-0.986,11.080